(1)
{
  "formula": "ZrFe2Co",
  "functional": "PBE-GGA",
  "state": "optimized geometry",
  "volume_a3_per_atom": 14.773,
  "crystal_system": "tetragonal",
  "formation_energy_mev_per_atom": 299,
  "lattice": [[3.569, 0.000, 0.000], [0.000, 3.569, 0.000], [1.785, 1.785, 9.278]],
  "species": ["Zr", "Zr", "Fe", "Fe", "Fe", "Fe", "Co", "Co"],
  "frac_coords": [[0.000, 0.000, 0.000], [0.750, 0.250, 0.500], [0.375, 0.403, 0.750], [0.597, 0.125, 0.250], [0.875, 0.847, 0.750], [0.153, 0.625, 0.250], [0.500, 0.500, 0.000], [0.250, 0.750, 0.500]]
}



(2)
{
  "formula": "ZrFe2Co9",
  "functional": "PBE-GGA",
  "state": "optimized geometry",
  "volume_a3_per_atom": 12.348,
  "crystal_system": "trigonal",
  "formation_energy_mev_per_atom": -17,
  "lattice": [[-2.590, -3.864, 0.814], [1.858, -3.629, 2.383], [-2.728, 0.555, 7.652]],
  "species": ["Co", "Co", "Co", "Co", "Co", "Co", "Co", "Co", "Co", "Fe", "Fe", "Zr"],
  "frac_coords": [[0.591, 0.591, 0.740], [0.078, 0.591, 0.740], [0.409, 0.409, 0.260], [0.922, 0.409, 0.260], [0.500, 0.500, 0.500], [0.591, 0.078, 0.740], [0.336, 0.336, 0.992], [0.664, 0.664, 0.008], [0.409, 0.922, 0.260], [0.143, 0.143, 0.570], [0.857, 0.857, 0.430], [0.000, 0.000, 0.000]]
}



(3)
{
  "formula": "ZrFe3Co",
  "functional": "PBE-GGA",
  "state": "optimized geometry",
  "volume_a3_per_atom": 15.911,
  "crystal_system": "cubic",
  "de_polymorph_mev_per_atom": 0,
  "formation_energy_mev_per_atom": 609,
  "lattice": [[-0.561, -2.660, -3.333], [-2.999, -2.143, 2.215], [-3.031, 2.613, -1.576]],
  "species": ["Fe", "Fe", "Fe", "Co", "Zr"],
  "frac_coords": [[0.000, 0.000, 0.500], [0.500, 0.000, 0.000], [0.000, 0.500, 0.000], [0.000, 0.000, 0.000], [0.500, 0.500, 0.500]]
}



(4)
{
  "formula": "ZrFeCo2",
  "functional": "PBE-GGA",
  "state": "optimized geometry",
  "volume_a3_per_atom": 14.319,
  "crystal_system": "trigonal",
  "formation_energy_mev_per_atom": 322,
  "lattice": [[8.598, -0.004, -0.002], [8.144, 2.757, -0.002], [8.144, 1.339, 2.410]],
  "species": ["Co", "Co", "Zr", "Fe"],
  "frac_coords": [[0.989, 0.989, 0.989], [0.250, 0.250, 0.250], [0.749, 0.749, 0.749], [0.511, 0.511, 0.511]]
}



(5)
{
  "formula": "Zr4FeCo",
  "functional": "PBE-GGA",
  "state": "optimized geometry",
  "volume_a3_per_atom": 21.595,
  "crystal_system": "tetragonal",
  "de_polymorph_mev_per_atom": 351,
  "formation_energy_mev_per_atom": 154,
  "lattice": [[7.016, -0.442, 0.000], [-3.237, 6.240, 0.000], [-1.889, -2.899, 6.119]],
  "species": ["Zr", "Zr", "Zr", "Zr", "Zr", "Zr", "Zr", "Zr", "Fe", "Fe", "Co", "Co"],
  "frac_coords": [[0.260, 0.987, 0.726], [0.738, 0.436, 0.698], [0.737, 0.510, 0.226], [0.284, 0.510, 0.774], [0.260, 0.534, 0.274], [0.790, 0.988, 0.802], [0.186, 0.988, 0.198], [0.738, 0.040, 0.302], [0.473, 0.973, 0.500], [0.723, 0.723, 0.000], [0.279, 0.279, 0.000], [0.029, 0.529, 0.500]]
}



(6)
{
  "formula": "ZrFeCo2",
  "functional": "PBE-GGA",
  "state": "optimized geometry",
  "volume_a3_per_atom": 13.909,
  "crystal_system": "tetragonal",
  "formation_energy_mev_per_atom": -81,
  "lattice": [[3.006, -0.010, 0.000], [0.009, 3.006, 0.000], [0.000, 0.000, 6.158]],
  "species": ["Fe", "Co", "Co", "Zr"],
  "frac_coords": [[0.500, 0.500, 0.250], [0.000, 0.000, 0.464], [0.000, 0.000, 0.036], [0.500, 0.500, 0.750]]
}



(7)
{
  "formula": "ZrFe2Co",
  "functional": "PBE-GGA",
  "state": "optimized geometry",
  "volume_a3_per_atom": 14.453,
  "crystal_system": "trigonal",
  "formation_energy_mev_per_atom": 296,
  "lattice": [[8.737, 0.009, 0.006], [8.290, 2.761, 0.006], [8.290, 1.349, 2.409]],
  "species": ["Fe", "Fe", "Co", "Zr"],
  "frac_coords": [[0.002, 0.002, 0.002], [0.259, 0.259, 0.259], [0.740, 0.740, 0.740], [0.499, 0.499, 0.499]]
}



(8)
{
  "formula": "Zr3Fe2Co",
  "functional": "PBE-GGA",
  "state": "optimized geometry",
  "volume_a3_per_atom": 16.134,
  "crystal_system": "orthorhombic",
  "formation_energy_mev_per_atom": -219,
  "lattice": [[3.182, 0.000, 0.000], [0.000, 4.281, -1.417], [0.000, -0.020, 7.114]],
  "species": ["Co", "Zr", "Zr", "Zr", "Fe", "Fe"],
  "frac_coords": [[0.000, 0.000, 0.000], [0.500, 0.168, 0.336], [0.500, 0.500, 0.000], [0.500, 0.832, 0.664], [0.000, 0.666, 0.333], [0.000, 0.334, 0.667]]
}



(9)
{
  "formula": "Zr3Fe7Co2",
  "functional": "PBE-GGA",
  "state": "optimized geometry",
  "volume_a3_per_atom": 13.900,
  "crystal_system": "trigonal",
  "formation_energy_mev_per_atom": -218,
  "lattice": [[4.670, 0.000, 1.462], [2.106, 4.168, 1.462], [-0.105, -0.064, 8.525]],
  "species": ["Fe", "Fe", "Fe", "Fe", "Fe", "Fe", "Fe", "Zr", "Zr", "Zr", "Co", "Co"],
  "frac_coords": [[0.919, 0.415, 0.250], [0.500, 0.500, 0.500], [0.585, 0.585, 0.750], [0.415, 0.919, 0.250], [0.081, 0.585, 0.750], [0.585, 0.081, 0.750], [0.415, 0.415, 0.250], [0.859, 0.859, 0.424], [0.000, 0.000, 0.000], [0.141, 0.141, 0.576], [0.333, 0.333, 0.001], [0.667, 0.667, 0.999]]
}



(10)
{
  "formula": "ZrFe2Co",
  "functional": "PBE-GGA",
  "state": "optimized geometry",
  "volume_a3_per_atom": 13.814,
  "crystal_system": "cubic",
  "formation_energy_mev_per_atom": -1,
  "lattice": [[-2.802, 0.038, 3.229], [-4.166, -0.566, -0.778], [-1.926, -3.623, 1.202]],
  "species": ["Fe", "Fe", "Zr", "Co"],
  "frac_coords": [[0.750, 0.750, 0.750], [0.250, 0.250, 0.250], [0.500, 0.500, 0.500], [0.000, 0.000, 0.000]]
}



(11)
{
  "formula": "Zr6FeCo5",
  "functional": "PBE-GGA",
  "state": "optimized geometry",
  "volume_a3_per_atom": 16.274,
  "crystal_system": "monoclinic",
  "formation_energy_mev_per_atom": -267,
  "lattice": [[-1.768, 0.596, 4.105], [2.436, -5.628, 1.867], [6.551, 2.808, -0.086]],
  "species": ["Zr", "Zr", "Zr", "Zr", "Zr", "Zr", "Co", "Co", "Co", "Co", "Co", "Fe"],
  "frac_coords": [[0.834, 0.250, 0.668], [0.500, 0.249, 0.000], [0.166, 0.750, 0.332], [0.500, 0.751, 0.000], [0.834, 0.750, 0.668], [0.166, 0.250, 0.332], [0.667, 0.000, 0.334], [0.667, 0.500, 0.333], [0.000, 0.500, 0.000], [0.333, 0.000, 0.666], [0.333, 0.500, 0.667], [0.000, 0.000, 0.000]]
}



(12)
{
  "formula": "Zr8FeCo2",
  "functional": "PBE-GGA",
  "state": "optimized geometry",
  "volume_a3_per_atom": 20.078,
  "crystal_system": "monoclinic",
  "formation_energy_mev_per_atom": -23,
  "lattice": [[-0.302, -0.681, -5.209], [-4.652, -5.005, 2.389], [-1.700, 7.006, 0.647]],
  "species": ["Zr", "Zr", "Zr", "Zr", "Zr", "Zr", "Zr", "Zr", "Co", "Co", "Fe"],
  "frac_coords": [[0.424, 0.660, 0.902], [0.576, 0.104, 0.346], [0.834, 0.639, 0.639], [0.424, 0.902, 0.660], [0.576, 0.346, 0.104], [0.000, 0.789, 0.217], [0.166, 0.367, 0.367], [0.000, 0.217, 0.789], [0.500, 0.714, 0.292], [0.500, 0.292, 0.714], [0.000, 0.003, 0.003]]
}



Number 1: theoretical density 7.358 g/cm³. Number 2: theoretical density 8.218 g/cm³. Number 3: theoretical density 6.631 g/cm³. Number 4: theoretical density 7.681 g/cm³. Number 5: theoretical density 6.147 g/cm³. Number 6: theoretical density 7.907 g/cm³. Number 7: theoretical density 7.521 g/cm³. Number 8: theoretical density 7.621 g/cm³. Number 9: theoretical density 7.789 g/cm³. Number 10: theoretical density 7.869 g/cm³. Number 11: theoretical density 7.634 g/cm³. Number 12: theoretical density 6.793 g/cm³.